P | The following is a DFT calculation (PBE) of a geometry-optimized Li2CrAg structure.

a = 3.0969 Å, b = 4.3104 Å, c = 9.3965 Å
α = 90.00°, β = 90.00°, γ = 90.00°
Closest atoms and distances in Å follow each position.
Space group Cmm2 (No. 35)
Asymmetric unit:
Li 0.0000 0.0000 0.0000 (multiplicity 2)  4 Li 2.65, 2 Ag 2.73
Li 0.0000 0.5000 0.2754 (multiplicity 2)  4 Li 2.65, 2 Cr 2.71
Cr 0.0000 0.0000 0.5127 (multiplicity 2)  4 Cr 2.65, 2 Li 2.71, 2 Ag 2.80
Ag 0.0000 0.5000 0.7608 (multiplicity 2)  4 Ag 2.65, 2 Li 2.73, 2 Cr 2.80

Output
Magnetization: 1.7 μB per formula unit

=====

Q | The following is a DFT calculation (PBE) of a geometry-optimized Li2CrAg structure.

a = 2.9557 Å, b = 4.0755 Å, c = 5.6814 Å
α = 90.00°, β = 90.00°, γ = 90.00°
Closest atoms and distances in Å follow each position.
Space group Pmm2 (No. 25)
Asymmetric unit:
Li 0.0000 0.0000 0.0000 (multiplicity 1)  2 Ag 2.82-2.86, 4 Cr 2.91, 6 Li 2.92-2.96
Li 0.5000 0.5000 0.2592 (multiplicity 1)  2 Cr 2.75-2.93, 4 Ag 2.87, 6 Li 2.92-2.96
Cr 0.5000 0.5000 0.7434 (multiplicity 1)  6 Li 2.75-2.93, 4 Ag 2.86, 2 Cr 2.96
Ag 0.0000 0.0000 0.5036 (multiplicity 1)  6 Li 2.82-2.87, 4 Cr 2.86, 2 Ag 2.96

Output
Magnetization: 4.5 μB per formula unit

=====

Tell me which of them is the least stable. Sure, it is P.

=====

P | The following is a DFT calculation (PBE) of a geometry-optimized Li2CrAg structure.

a = 2.7236 Å, b = 2.7236 Å, c = 28.0319 Å
α = 90.00°, β = 90.00°, γ = 120.00°
Closest atoms and distances in Å follow each position.
Space group R-3m (No. 166, hexagonal axes)
Asymmetric unit:
Li 0.0000 0.0000 0.2480 (multiplicity 6)  6 Li 2.72, 3 Cr 2.77, 3 Ag 2.86
Cr 0.0000 0.0000 0.5000 (multiplicity 3)  6 Cr 2.72, 6 Li 2.77
Ag 0.0000 0.0000 0.0000 (multiplicity 3)  6 Ag 2.72, 6 Li 2.86

Output
Magnetization: 1.5 μB per formula unit

=====

Q | The following is a DFT calculation (PBE) of a geometry-optimized Li2CrAg structure.

a = 9.8953 Å, b = 3.3102 Å, c = 4.4514 Å
α = 90.00°, β = 115.96°, γ = 90.00°
Closest atoms and distances in Å follow each position.
Space group Cm (No. 8)
Asymmetric unit:
Li 0.0000 0.0000 0.0000 (multiplicity 2)  2 Ag 2.71, 2 Li 2.72, 4 Cr 2.77
Li 0.2432 0.5000 0.2443 (multiplicity 2)  2 Li 2.72, 4 Ag 2.77-2.78, 2 Cr 2.82
Cr 0.0001 0.5000 0.5002 (multiplicity 2)  7 Li 2.77-3.08, 3 Ag 2.84-3.08
Ag 0.2589 0.0000 0.7605 (multiplicity 2)  6 Li 2.71-2.78, 2 Cr 2.84

Output
Magnetization: 4.4 μB per formula unit

=====

R | The following is a DFT calculation (PBE) of a geometry-optimized Li2CrAg structure.

a = 2.9536 Å, b = 3.9981 Å, c = 5.6883 Å
α = 90.00°, β = 90.00°, γ = 90.00°
Closest atoms and distances in Å follow each position.
Space group Pmmm (No. 47)
Asymmetric unit:
Li 0.0000 0.0000 0.2409 (multiplicity 2)  4 Li 2.74-2.95, 4 Ag 2.84, 4 Cr 2.89
Cr 0.5000 0.5000 0.5000 (multiplicity 1)  2 Ag 2.84, 8 Li 2.89, 2 Cr 2.95
Ag 0.5000 0.5000 0.0000 (multiplicity 1)  8 Li 2.84, 2 Cr 2.84, 2 Ag 2.95

Output
Magnetization: 4.6 μB per formula unit

=====

S | The following is a DFT calculation (PBE) of a geometry-optimized Li2CrAg structure.

a = 4.1876 Å, b = 4.1876 Å, c = 7.6396 Å
α = 90.00°, β = 90.00°, γ = 90.00°
Closest atoms and distances in Å follow each position.
Space group I-4m2 (No. 119)
Asymmetric unit:
Li 0.0000 0.0000 0.0000 (multiplicity 2)  4 Li 2.83, 4 Ag 2.83, 4 Cr 2.96
Li 0.0000 0.5000 0.2500 (multiplicity 2)  4 Cr 2.83, 4 Li 2.83, 4 Ag 2.96
Cr 0.0000 0.0000 0.5000 (multiplicity 2)  8 Li 2.83-2.96, 4 Ag 2.83
Ag 0.0000 0.5000 0.7500 (multiplicity 2)  4 Cr 2.83, 8 Li 2.83-2.96

Output
Magnetization: 4.5 μB per formula unit

=====

Tell me which of them is the least stable. Sure, it is P.

=====

P | The following is a DFT calculation (PBE) of a geometry-optimized Li2CrAg structure.

a = 5.5746 Å, b = 9.3238 Å, c = 2.8956 Å
α = 90.00°, β = 115.83°, γ = 90.00°
Closest atoms and distances in Å follow each position.
Space group C2/m (No. 12)
Asymmetric unit:
Li 0.2500 0.2500 0.0000 (multiplicity 4)  2 Cr 2.78, 2 Ag 2.78, 6 Li 2.79-3.02
Cr 0.0000 0.0000 0.5000 (multiplicity 2)  4 Li 2.78, 4 Ag 2.79-3.02, 2 Cr 2.90
Ag 0.0000 0.5000 0.5000 (multiplicity 2)  4 Li 2.78, 4 Cr 2.79-3.02, 2 Ag 2.90

Output
Magnetization: 4.3 μB per formula unit

=====

Q | The following is a DFT calculation (PBE) of a geometry-optimized Li2CrAg structure.

a = 4.0357 Å, b = 4.0357 Å, c = 8.1268 Å
α = 90.00°, β = 90.00°, γ = 90.00°
Closest atoms and distances in Å follow each position.
Space group I4/mmm (No. 139)
Asymmetric unit:
Li 0.0000 0.5000 0.2500 (multiplicity 4)  4 Li 2.85, 4 Cr 2.86, 4 Ag 2.86
Cr 0.0000 0.0000 0.0000 (multiplicity 2)  4 Ag 2.85, 8 Li 2.86
Ag 0.0000 0.0000 0.5000 (multiplicity 2)  4 Cr 2.85, 8 Li 2.86

Output
Magnetization: 4.5 μB per formula unit

=====

R | The following is a DFT calculation (PBE) of a geometry-optimized Li2CrAg structure.

a = 2.6434 Å, b = 2.6434 Å, c = 8.8437 Å
α = 90.00°, β = 90.00°, γ = 90.00°
Closest atoms and distances in Å follow each position.
Space group P4mm (No. 99)
Asymmetric unit:
Li 0.0000 0.0000 0.0000 (multiplicity 1)  4 Li 2.64, 4 Cr 2.81
Li 0.5000 0.5000 0.2812 (multiplicity 1)  4 Li 2.64, 4 Ag 2.81
Cr 0.5000 0.5000 0.7630 (multiplicity 1)  4 Cr 2.64, 4 Li 2.81, 4 Ag 2.86
Ag 0.0000 0.0000 0.5184 (multiplicity 1)  4 Ag 2.64, 4 Li 2.81, 4 Cr 2.86

Output
Magnetization: 1.1 μB per formula unit

=====

Tell me which of them is the least stable. Sure, it is R.

=====

P | The following is a DFT calculation (PBE) of a geometry-optimized LiCr3Ag structure.

a = 4.0228 Å, b = 4.0228 Å, c = 4.0228 Å
α = 90.00°, β = 90.00°, γ = 90.00°
Closest atoms and distances in Å follow each position.
Space group Pm-3m (No. 221)
Asymmetric unit:
Li 0.0000 0.0000 0.0000 (multiplicity 1)  6 Cr 2.01
Cr 0.0000 0.0000 0.5000 (multiplicity 3)  2 Li 2.01
Ag 0.5000 0.5000 0.5000 (multiplicity 1)  12 Cr 2.84

Output
Magnetization: 0.0 μB per formula unit

=====

Q | The following is a DFT calculation (PBE) of a geometry-optimized LiCr3Ag structure.

a = 5.0906 Å, b = 5.0906 Å, c = 5.0906 Å
α = 90.00°, β = 90.00°, γ = 90.00°
Closest atoms and distances in Å follow each position.
Space group Pm-3m (No. 221)
Asymmetric unit:
Li 0.0000 0.0000 0.0000 (multiplicity 1)  12 Cr 3.60
Cr 0.0000 0.5000 0.5000 (multiplicity 3)  2 Ag 2.55
Ag 0.5000 0.5000 0.5000 (multiplicity 1)  6 Cr 2.55

Output
Magnetization: 13.9 μB per formula unit

=====

Tell me which of them is the least stable. Sure, it is P.

=====

P | The following is a DFT calculation (PBE) of a geometry-optimized Lu2CrAg structure.

a = 7.0682 Å, b = 7.0682 Å, c = 7.0682 Å
α = 90.00°, β = 90.00°, γ = 90.00°
Closest atoms and distances in Å follow each position.
Space group Fm-3m (No. 225)
Asymmetric unit:
Lu 0.2500 0.2500 0.2500 (multiplicity 8)  4 Cr 3.06, 4 Ag 3.06
Cr 0.0000 0.0000 0.0000 (multiplicity 4)  8 Lu 3.06
Ag 0.0000 0.0000 0.5000 (multiplicity 4)  8 Lu 3.06

Output
Magnetization: 3.7 μB per formula unit

=====

Q | The following is a DFT calculation (PBE) of a geometry-optimized Lu2CrAg structure.

a = 3.3938 Å, b = 3.3938 Å, c = 7.4476 Å
α = 90.00°, β = 90.00°, γ = 90.00°
Closest atoms and distances in Å follow each position.
Space group P4/mmm (No. 123)
Asymmetric unit:
Lu 0.0000 0.0000 0.2317 (multiplicity 2)  4 Cr 2.96, 4 Ag 3.12
Cr 0.5000 0.5000 0.0000 (multiplicity 1)  8 Lu 2.96
Ag 0.5000 0.5000 0.5000 (multiplicity 1)  8 Lu 3.12, 4 Ag 3.39

Output
Magnetization: 2.5 μB per formula unit

=====

Tell me which of them is the least stable. Sure, it is P.

=====

P | The following is a DFT calculation (PBE) of a geometry-optimized MgCrAg structure.

a = 6.4001 Å, b = 6.4001 Å, c = 6.4001 Å
α = 90.00°, β = 90.00°, γ = 90.00°
Closest atoms and distances in Å follow each position.
Space group F-43m (No. 216)
Asymmetric unit:
Mg 0.0000 0.0000 0.0000 (multiplicity 4)  4 Ag 2.77
Cr 0.0000 0.0000 0.5000 (multiplicity 4)  4 Ag 2.77
Ag 0.2500 0.2500 0.2500 (multiplicity 4)  4 Cr 2.77, 4 Mg 2.77

Output
Magnetization: 4.4 μB per formula unit

=====

Q | The following is a DFT calculation (PBE) of a geometry-optimized MgCrAg structure.

a = 4.6464 Å, b = 4.6464 Å, c = 2.9446 Å
α = 90.00°, β = 90.00°, γ = 120.00°
Closest atoms and distances in Å follow each position.
Space group P3m1 (No. 156)
Asymmetric unit:
Mg 0.0000 0.0000 0.0000 (multiplicity 1)  3 Ag 2.81, 3 Cr 2.91, 2 Mg 2.94
Cr 0.3333 0.6667 0.6192 (multiplicity 1)  3 Ag 2.86, 3 Mg 2.91, 2 Cr 2.94
Ag 0.6667 0.3333 0.2843 (multiplicity 1)  3 Mg 2.81, 3 Cr 2.86, 2 Ag 2.94

Output
Magnetization: 4.3 μB per formula unit

=====

Tell me which of them is the least stable. Sure, it is P.

=====

P | The following is a DFT calculation (PBE) of a geometry-optimized MnCrAg structure.

a = 2.8386 Å, b = 2.8386 Å, c = 6.3703 Å
α = 90.00°, β = 90.00°, γ = 120.00°
Closest atoms and distances in Å follow each position.
Space group P3m1 (No. 156)
Asymmetric unit:
Mn 0.0000 0.0000 0.0000 (multiplicity 1)  3 Cr 2.32
Cr 0.3333 0.6667 0.7413 (multiplicity 1)  3 Mn 2.32
Ag 0.6667 0.3333 0.3696 (multiplicity 1)  6 Ag 2.84, 3 Mn 2.87, 3 Cr 2.88

Output
Magnetization: 0.8 μB per formula unit

=====

Q | The following is a DFT calculation (PBE) of a geometry-optimized MnCrAg structure.

a = 6.0202 Å, b = 6.0202 Å, c = 6.0202 Å
α = 90.00°, β = 90.00°, γ = 90.00°
Closest atoms and distances in Å follow each position.
Space group F-43m (No. 216)
Asymmetric unit:
Mn 0.0000 0.0000 0.0000 (multiplicity 4)  4 Cr 2.61, 4 Ag 2.61
Cr 0.2500 0.2500 0.7500 (multiplicity 4)  4 Mn 2.61
Ag 0.2500 0.2500 0.2500 (multiplicity 4)  4 Mn 2.61

Output
Magnetization: 0.1 μB per formula unit

=====

Tell me which of them is the least stable. Sure, it is Q.

=====

P | The following is a DFT calculation (PBE) of a geometry-optimized MnCr3Ag structure.

a = 4.9360 Å, b = 4.9360 Å, c = 4.9360 Å
α = 90.00°, β = 90.00°, γ = 90.00°
Closest atoms and distances in Å follow each position.
Space group Pm-3m (No. 221)
Asymmetric unit:
Mn 0.0000 0.0000 0.0000 (multiplicity 1)  12 Cr 3.49
Cr 0.0000 0.5000 0.5000 (multiplicity 3)  2 Ag 2.47
Ag 0.5000 0.5000 0.5000 (multiplicity 1)  6 Cr 2.47

Output
Magnetization: 8.4 μB per formula unit

=====

Q | The following is a DFT calculation (PBE) of a geometry-optimized MnCr3Ag structure.

a = 4.2187 Å, b = 4.2187 Å, c = 4.2187 Å
α = 90.00°, β = 90.00°, γ = 90.00°
Closest atoms and distances in Å follow each position.
Space group Pm-3m (No. 221)
Asymmetric unit:
Mn 0.0000 0.0000 0.0000 (multiplicity 1)  6 Cr 2.11
Cr 0.0000 0.0000 0.5000 (multiplicity 3)  2 Mn 2.11
Ag 0.5000 0.5000 0.5000 (multiplicity 1)  12 Cr 2.98

Output
Magnetization: 0.0 μB per formula unit

=====

Tell me which of them is the least stable. Sure, it is P.

=====

P | The following is a DFT calculation (PBE) of a geometry-optimized CrAgMo2 structure.

a = 2.6894 Å, b = 4.1607 Å, c = 5.5797 Å
α = 90.00°, β = 99.65°, γ = 90.00°
Closest atoms and distances in Å follow each position.
Space group P2/m (No. 10)
Asymmetric unit:
Cr 0.0000 0.0000 0.0000 (multiplicity 1)  4 Mo 2.59, 2 Cr 2.69, 2 Ag 2.79
Ag 0.0000 0.0000 0.5000 (multiplicity 1)  2 Ag 2.69, 2 Cr 2.79, 8 Mo 2.88-2.96
Mo 0.4365 0.5000 0.2195 (multiplicity 2)  3 Mo 2.53-2.69, 2 Cr 2.59

Output
Magnetization: 0.0 μB per formula unit

=====

Q | The following is a DFT calculation (PBE) of a geometry-optimized CrAgMo2 structure.

a = 2.8695 Å, b = 2.8695 Å, c = 7.5463 Å
α = 90.00°, β = 90.00°, γ = 90.00°
Closest atoms and distances in Å follow each position.
Space group P4/mmm (No. 123)
Asymmetric unit:
Cr 0.0000 0.0000 0.0000 (multiplicity 1)  8 Mo 2.55
Ag 0.0000 0.0000 0.5000 (multiplicity 1)  4 Ag 2.87, 8 Mo 3.01
Mo 0.5000 0.5000 0.2057 (multiplicity 2)  4 Cr 2.55

Output
Magnetization: 0.0 μB per formula unit

=====

Tell me which of them is the least stable. Sure, it is P.

=====

P | The following is a DFT calculation (PBE) of a geometry-optimized CrAg3N structure.

a = 4.3960 Å, b = 4.3960 Å, c = 4.3960 Å
α = 90.00°, β = 90.00°, γ = 90.00°
Closest atoms and distances in Å follow each position.
Space group Pm-3m (No. 221)
Asymmetric unit:
Cr 0.0000 0.0000 0.0000 (multiplicity 1)  12 Ag 3.11
Ag 0.0000 0.5000 0.5000 (multiplicity 3)  2 N 2.20
N 0.5000 0.5000 0.5000 (multiplicity 1)  6 Ag 2.20

Output
Magnetization: 4.9 μB per formula unit

=====

Q | The following is a DFT calculation (PBE) of a geometry-optimized CrAg3N structure.

a = 4.9559 Å, b = 4.9559 Å, c = 4.9559 Å
α = 90.00°, β = 90.00°, γ = 90.00°
Closest atoms and distances in Å follow each position.
Space group Pm-3m (No. 221)
Asymmetric unit:
Cr 0.0000 0.0000 0.0000 (multiplicity 1)  6 Ag 2.48
Ag 0.0000 0.0000 0.5000 (multiplicity 3)  2 Cr 2.48
N 0.5000 0.5000 0.5000 (multiplicity 1)  12 Ag 3.50

Output
Magnetization: 4.8 μB per formula unit

=====

Tell me which of them is the least stable. Sure, it is Q.

=====

P | The following is a DFT calculation (PBE) of a geometry-optimized CrAgSe2N structure.

a = 5.1294 Å, b = 5.1294 Å, c = 3.8447 Å
α = 90.00°, β = 90.00°, γ = 90.00°
Closest atoms and distances in Å follow each position.
Space group P4/mmm (No. 123)
Asymmetric unit:
Cr 0.0000 0.0000 0.0000 (multiplicity 1)  8 Se 3.21
Ag 0.5000 0.5000 0.5000 (multiplicity 1)  2 N 1.92
Se 0.0000 0.5000 0.5000 (multiplicity 2)  2 Ag 2.56
N 0.5000 0.5000 0.0000 (multiplicity 1)  2 Ag 1.92

Output
Magnetization: 0.3 μB per formula unit

=====

Q | The following is a DFT calculation (PBE) of a geometry-optimized CrAgSe2N structure.

a = 4.9666 Å, b = 4.9666 Å, c = 3.5226 Å
α = 90.00°, β = 90.00°, γ = 90.00°
Closest atoms and distances in Å follow each position.
Space group P4/mmm (No. 123)
Asymmetric unit:
Cr 0.0000 0.0000 0.0000 (multiplicity 1)  2 N 1.76
Ag 0.5000 0.5000 0.5000 (multiplicity 1)  8 Se 3.04
Se 0.0000 0.5000 0.0000 (multiplicity 2)  2 Cr 2.48
N 0.0000 0.0000 0.5000 (multiplicity 1)  2 Cr 1.76

Output
Magnetization: 0.0 μB per formula unit

=====

Tell me which of them is the least stable. Sure, it is P.

=====

P | The following is a DFT calculation (PBE) of a geometry-optimized CrAgTe2N structure.

a = 5.4970 Å, b = 5.4970 Å, c = 3.8291 Å
α = 90.00°, β = 90.00°, γ = 90.00°
Closest atoms and distances in Å follow each position.
Space group P4/mmm (No. 123)
Asymmetric unit:
Cr 0.0000 0.0000 0.0000 (multiplicity 1)  8 Te 3.35
Ag 0.5000 0.5000 0.5000 (multiplicity 1)  2 N 1.91
Te 0.0000 0.5000 0.5000 (multiplicity 2)  2 Ag 2.75
N 0.5000 0.5000 0.0000 (multiplicity 1)  2 Ag 1.91

Output
Magnetization: 0.2 μB per formula unit

=====

Q | The following is a DFT calculation (PBE) of a geometry-optimized CrAgTe2N structure.

a = 5.4504 Å, b = 5.4504 Å, c = 3.5189 Å
α = 90.00°, β = 90.00°, γ = 90.00°
Closest atoms and distances in Å follow each position.
Space group P4/mmm (No. 123)
Asymmetric unit:
Cr 0.0000 0.0000 0.0000 (multiplicity 1)  2 N 1.76
Ag 0.5000 0.5000 0.5000 (multiplicity 1)  8 Te 3.24, 2 Ag 3.52
Te 0.0000 0.5000 0.0000 (multiplicity 2)  2 Cr 2.73
N 0.0000 0.0000 0.5000 (multiplicity 1)  2 Cr 1.76

Output
Magnetization: 1.4 μB per formula unit

=====

Tell me which of them is the least stable. Sure, it is P.